Entry 1:
## Ca2CdCu5Ni2 (PBE)

Data for a relaxed Ca2CdCu5Ni2 crystal.

The structure belongs to space group P4/mbm (No. 127); the cell edges are 9.136, 9.136 and 3.878 Å and the angles 90.00°, 90.00° and 90.00°. The asymmetric unit holds Ca at (0.179, 0.321, 0.000), Cd at (0.000, 0.000, 0.000), Cu at (0.000, 0.500, 0.500), Cu at (0.064, 0.781, 0.500) and Ni at (0.116, 0.616, 0.000).

The volume comes out at 16.2 Å³ per atom. As for the formation energy: -0.067 eV per atom.



Entry 2:
## Ca2Cd2CuPd5 (PBE)

Data for a relaxed Ca2Cd2CuPd5 crystal.

The structure belongs to space group P4/mbm (No. 127); the cell edges are 10.212, 10.212 and 3.731 Å and the angles 90.00°, 90.00° and 90.00°. The asymmetric unit holds Ca at (0.169, 0.331, 0.000), Cd at (0.133, 0.633, 0.000), Cu at (0.000, 0.000, 0.000), Pd at (0.000, 0.500, 0.500) and Pd at (0.055, 0.814, 0.500).

The volume comes out at 19.5 Å³ per atom. As for the formation energy: -0.368 eV per atom.



no.,energy (eV per atom)
1,-3.76
2,-3.96